# 1
TaZnCuRh: relaxed, PBE-GGA.

Energy relative to the elements in eV/atom: -0.19

Unit cell a=4.364 b=4.364 c=4.364 alpha=60.00 beta=60.00 gamma=60.00
Fractional positions:
Zn (0.000, 0.000, 0.000)
Ta (0.500, 0.500, 0.500)
Cu (0.250, 0.250, 0.250)
Rh (0.750, 0.750, 0.750)

# 2
Pm3PrZn8: relaxed, PBE-GGA.

ΔE to the lowest computed polymorph in meV/atom: 0
Energy relative to the elements in eV/atom: -0.32

Unit cell a=5.577 b=5.577 c=9.622 alpha=73.15 beta=73.15 gamma=60.00
Fractional positions:
Zn (0.939, 0.438, 0.186)
Zn (0.438, 0.939, 0.186)
Zn (0.436, 0.938, 0.689)
Zn (0.438, 0.438, 0.186)
Zn (0.938, 0.938, 0.689)
Pm (0.000, 0.000, 0.001)
Zn (0.187, 0.187, 0.438)
Pm (0.500, 0.500, 0.500)
Zn (0.938, 0.436, 0.689)
Zn (0.687, 0.687, 0.938)
Pm (0.375, 0.375, 0.874)
Pr (0.875, 0.875, 0.376)

# 3
YSi2NiRu: relaxed, PBE-GGA.

ΔE_f (raw) in eV per atom: -0.87

Unit cell a=3.977 b=3.977 c=5.745 alpha=110.25 beta=110.25 gamma=90.00
Fractional positions:
Y (0.000, 0.000, 0.000)
Ni (0.750, 0.250, 0.500)
Ru (0.250, 0.750, 0.500)
Si (0.376, 0.376, 0.752)
Si (0.624, 0.624, 0.248)

# 4
HfReRuN2: relaxed, PBE-GGA.

ΔE to the lowest computed polymorph in meV/atom: 257
ΔE_f (raw) in eV per atom: 1.44

Unit cell a=3.795 b=5.749 c=3.795 alpha=90.00 beta=90.00 gamma=90.00
Fractional positions:
N (0.500, 0.000, 0.000)
Re (0.500, 0.500, 0.500)
Hf (0.000, 0.500, 0.000)
Ru (0.000, 0.000, 0.000)
N (0.000, 0.000, 0.500)

# 5
Ba6Te2RhI3: relaxed, PBE-GGA.

ΔE_f (raw) in eV per atom: -1.33

Unit cell a=8.584 b=8.584 c=8.792 alpha=99.49 beta=99.49 gamma=119.70
Fractional positions:
Te (0.666, 0.334, 0.000)
Ba (0.070, 0.370, 0.209)
I (0.823, 0.177, 0.500)
Rh (0.000, 0.000, 0.000)
Ba (0.370, 0.070, 0.209)
Ba (0.231, 0.231, 0.782)
I (0.500, 0.500, 0.500)
I (0.177, 0.823, 0.500)
Te (0.334, 0.666, 0.000)
Ba (0.930, 0.630, 0.791)
Ba (0.769, 0.769, 0.218)
Ba (0.630, 0.930, 0.791)

# 6
CdHgPCl2: relaxed, PBE-GGA.

ΔE to the lowest computed polymorph in meV/atom: 0
ΔE_f (raw) in eV per atom: 0.11

Unit cell a=5.144 b=5.144 c=5.415 alpha=90.00 beta=90.00 gamma=90.00
Fractional positions:
Cd (0.000, 0.000, 0.000)
Hg (0.500, 0.500, 0.500)
Cl (0.000, 0.500, 0.000)
Cl (0.500, 0.000, 0.000)
P (0.000, 0.000, 0.500)

# 7
Tb2NdDy7: relaxed, PBE-GGA.

ΔE to the lowest computed polymorph in meV/atom: 681
Energy relative to the elements in eV/atom: 0.70

Unit cell a=5.583 b=9.199 c=9.199 alpha=123.47 beta=90.00 gamma=90.00
Fractional positions:
Tb (0.500, 0.297, 0.703)
Dy (0.500, 0.291, 0.063)
Dy (0.500, 0.063, 0.291)
Dy (0.000, 0.215, 0.785)
Dy (0.500, 0.937, 0.709)
Nd (0.000, 0.000, 0.000)
Dy (0.500, 0.709, 0.937)
Dy (0.500, 0.500, 0.500)
Tb (0.500, 0.703, 0.297)
Dy (0.000, 0.785, 0.215)

# 8
Mg4ScRe: relaxed, PBE-GGA.

Energy relative to the elements in eV/atom: 0.40

Unit cell a=5.458 b=5.458 c=5.458 alpha=60.00 beta=60.00 gamma=60.00
Fractional positions:
Sc (0.000, 0.000, 0.000)
Mg (0.376, 0.872, 0.376)
Mg (0.376, 0.376, 0.376)
Mg (0.872, 0.376, 0.376)
Re (0.750, 0.750, 0.750)
Mg (0.376, 0.376, 0.872)

# 9
RbNa2TlIn: relaxed, PBE-GGA.

ΔE to the lowest computed polymorph in meV/atom: 565
Energy relative to the elements in eV/atom: 0.59

Unit cell a=6.341 b=6.481 c=6.341 alpha=90.00 beta=90.00 gamma=90.00
Fractional positions:
Rb (0.000, 0.000, 0.000)
Na (0.000, 0.000, 0.500)
Na (0.500, 0.000, 0.000)
In (0.000, 0.500, 0.000)
Tl (0.500, 0.500, 0.500)

# 10
BaNiPb: relaxed, PBE-GGA.

Energy relative to the elements in eV/atom: -0.01

Unit cell a=6.676 b=6.676 c=3.667 alpha=74.07 beta=74.05 gamma=31.88
Fractional positions:
Ba (0.991, 0.991, 0.009)
Ni (0.296, 0.296, 0.704)
Pb (0.713, 0.713, 0.287)

# 11
Re3Au: relaxed, PBE-GGA.

Energy relative to the elements in eV/atom: 0.32

Unit cell a=4.830 b=9.140 c=5.602 alpha=90.00 beta=90.00 gamma=90.00
Fractional positions:
Re (0.247, 0.491, 0.866)
Re (0.410, 0.250, 0.631)
Re (0.753, 0.991, 0.134)
Re (0.090, 0.750, 0.131)
Re (0.753, 0.509, 0.134)
Re (0.747, 0.009, 0.634)
Au (0.413, 0.250, 0.126)
Au (0.087, 0.750, 0.626)
Re (0.590, 0.750, 0.369)
Re (0.747, 0.491, 0.634)
Au (0.587, 0.750, 0.874)
Au (0.913, 0.250, 0.374)
Re (0.253, 0.509, 0.366)
Re (0.247, 0.009, 0.866)
Re (0.910, 0.250, 0.869)
Re (0.253, 0.991, 0.366)

# 12
Ac2Pm4Nd3: relaxed, PBE-GGA.

ΔE to the lowest computed polymorph in meV/atom: 77
Energy relative to the elements in eV/atom: 0.15

Unit cell a=9.143 b=8.907 c=8.907 alpha=90.00 beta=90.00 gamma=111.81
Fractional positions:
Pm (0.645, 0.520, 0.637)
Nd (0.500, 0.500, 0.000)
Nd (0.748, 0.751, 0.324)
Pm (0.368, 0.082, 0.964)
Ac (0.451, 0.825, 0.651)
Pm (0.855, 0.480, 0.137)
Nd (0.248, 0.751, 0.176)
Pm (0.145, 0.520, 0.863)
Nd (0.000, 0.500, 0.500)
Pm (0.868, 0.082, 0.536)
Nd (0.752, 0.249, 0.824)
Pm (0.132, 0.918, 0.464)
Pm (0.355, 0.480, 0.363)
Nd (0.252, 0.249, 0.676)
Ac (0.951, 0.825, 0.849)
Ac (0.049, 0.175, 0.151)
Pm (0.632, 0.918, 0.036)
Ac (0.549, 0.175, 0.349)

no.,density (g/cm³),total magnetic moment (μB/f.u.)
1,11.66,0.000
2,7.47,0.000
3,6.39,0.000
4,9.90,2.266
5,4.88,2.032
6,4.81,1.621
7,6.74,0.000
8,4.74,0.000
9,2.87,0.000
10,8.09,0.000
11,20.29,0.000
12,7.23,0.000